Sr2CaSi2 | GGA-PBE | relaxed

Unit cell a=6.2583 b=6.2583 c=6.2583 alpha=135.86 beta=116.61 gamma=80.48
With the nearest neighbours (Å) after each atom.
Element x y z (fractional)
Sr  0.2007  0.2007  0.0000  6 Si 3.29-3.50
Sr  0.7993  0.7993  0.0000  6 Si 3.29-3.50
Ca  0.5000  0.0000  0.5000  4 Si 3.10
Si  0.1928  0.5000  0.6928  1 Si 2.54
Si  0.8072  0.5000  0.3072  1 Si 2.54

Summary:
As for the crystal system: orthorhombic. The calculation puts the density of states at the Fermi level at 1.35 states/eV/f.u. The calculation puts the energy above the most stable polymorph in this dataset at 0.000 eV per formula unit. The formation energy from raw total energies comes out at -0.38 eV/atom. For the total energy, the calculation gives -3.623 eV per atom. As for the space group: No. 71.



Sm2HgSe | GGA-PBE | relaxed

Unit cell a=8.3385 b=8.3385 c=8.3385 alpha=27.90 beta=27.90 gamma=27.90
With the nearest neighbours (Å) after each atom.
Element x y z (fractional)
Sm  0.0000  0.0000  0.0000  3 Se 2.90, 3 Hg 3.21
Sm  0.1847  0.1847  0.1847  3 Se 2.95, 3 Hg 3.21
Hg  0.4257  0.4257  0.4257  6 Sm 3.21
Se  0.5940  0.5940  0.5940  6 Sm 2.90-2.95

Summary:
As for the crystal system: trigonal. The calculation puts the density of states at the Fermi level at 2.71 states/eV/f.u. The calculation puts the energy above the most stable polymorph in this dataset at 0.271 eV per formula unit. The formation energy from raw total energies comes out at -1.06 eV/atom. For the total energy, the calculation gives -4.361 eV per atom. As for the space group: No. 160.



Cu4BiAu | GGA-PBE | relaxed

Unit cell a=5.0922 b=5.0922 c=5.0922 alpha=60.00 beta=60.00 gamma=60.00
With the nearest neighbours (Å) after each atom.
Element x y z (fractional)
Cu  0.3757  0.3757  0.3757  6 Cu 2.53-2.56
Cu  0.3757  0.3757  0.8730  6 Cu 2.53-2.56
Cu  0.3757  0.8730  0.3757  6 Cu 2.53-2.56
Cu  0.8730  0.3757  0.3757  6 Cu 2.53-2.56
Bi  0.0000  0.0000  0.0000  12 Cu 2.99, 4 Au 3.12
Au  0.7500  0.7500  0.7500  12 Cu 2.98, 4 Bi 3.12

Summary:
For the formation energy from the elements, the calculation gives 0.0731 eV per atom. As for the crystal system: cubic. The calculation puts the density of states at the Fermi level at 2.28 states/eV/f.u. For the total energy, the calculation gives -3.851 eV per atom. As for the space group: No. 216.



FeIrBr | GGA-PBE | relaxed

Unit cell a=3.3361 b=3.3361 c=5.6920 alpha=90.00 beta=90.00 gamma=120.00
With the nearest neighbours (Å) after each atom.
Element x y z (fractional)
Fe  0.0000  0.0000  0.0000  3 Ir 2.41
Ir  0.6667  0.3333  0.2531  3 Fe 2.41
Br  0.3333  0.6667  0.6665  3 Fe 2.70

Summary:
As for the crystal system: trigonal. The calculation puts the density of states at the Fermi level at 1.59 states/eV/f.u. The calculation puts the energy above the most stable polymorph in this dataset at 0.085 eV per formula unit. The formation energy from raw total energies comes out at 0.51 eV/atom. For the total energy, the calculation gives -5.821 eV per atom. As for the space group: No. 156.